No. 1
Material: Sc2GaPd
Method: DFT, PBE-GGA
State: optimized geometry

Unit cell a=7.817 b=7.817 c=7.817 alpha=36.74 beta=154.28 gamma=154.21
Site moments in Bohr magnetons follow the coordinates.
Atoms (fractional coordinates):
Sc (0.000, 0.321, 0.321)  0.21
Sc (0.000, 0.679, 0.679)  0.21
Ga (0.000, 0.000, 0.000)  0.01
Pd (0.000, 0.500, 0.500)  0.01

Properties
energy of formation from the pure elements = -0.172 eV/atom

=====

No. 2
Material: NaCu2Ge2
Method: DFT, PBE-GGA
State: optimized geometry

Unit cell a=4.328 b=4.328 c=5.813 alpha=68.14 beta=68.14 gamma=90.00
Atoms (fractional coordinates):
Na (0.000, 0.000, 0.000)
Ge (0.750, 0.250, 0.500)
Ge (0.250, 0.750, 0.500)
Cu (0.374, 0.374, 0.253)
Cu (0.626, 0.626, 0.747)

Properties
polymorph energy (0 for the lowest one) = 0.59 eV/f.u.
energy of formation from the pure elements = 0.076 eV/atom

=====

No. 3
Material: NaLa2As2
Method: DFT, PBE-GGA
State: optimized geometry

Unit cell a=8.220 b=8.220 c=4.055 alpha=90.00 beta=90.00 gamma=90.00
Site moments in Bohr magnetons follow the coordinates.
Atoms (fractional coordinates):
Na (0.000, 0.000, 0.000)  0.02
Na (0.500, 0.500, 0.000)  0.02
As (0.342, 0.842, 0.000)  0.00
As (0.842, 0.658, 0.000)  0.00
As (0.658, 0.158, 0.000)  0.00
As (0.158, 0.342, 0.000)  0.00
La (0.149, 0.649, 0.500)  0.09
La (0.649, 0.851, 0.500)  0.09
La (0.851, 0.351, 0.500)  0.09
La (0.351, 0.149, 0.500)  0.09

Properties
polymorph energy (0 for the lowest one) = 0.00 eV/f.u.
energy of formation from the pure elements = -1.105 eV/atom

=====

No. 4
Material: TiCrW2
Method: DFT, PBE-GGA
State: optimized geometry

Unit cell a=3.065 b=3.065 c=6.353 alpha=90.00 beta=90.00 gamma=90.00
Atoms (fractional coordinates):
Cr (0.500, 0.500, 0.000)
W (0.000, 0.000, 0.765)
W (0.000, 0.000, 0.235)
Ti (0.500, 0.500, 0.500)

Properties
polymorph energy (0 for the lowest one) = 0.00 eV/f.u.
energy of formation from the pure elements = 0.014 eV/atom

=====

No. 5
Material: SrErMgGa
Method: DFT, PBE-GGA
State: optimized geometry

Unit cell a=5.385 b=5.385 c=5.385 alpha=60.00 beta=60.00 gamma=60.00
Atoms (fractional coordinates):
Sr (0.500, 0.500, 0.500)
Mg (0.250, 0.250, 0.250)
Ga (0.750, 0.750, 0.750)
Er (0.000, 0.000, 0.000)

Properties
energy of formation from the pure elements = -0.188 eV/atom

=====

No. 6
Material: Li3SiSb
Method: DFT, PBE-GGA
State: optimized geometry

Unit cell a=4.707 b=4.707 c=4.707 alpha=90.00 beta=90.00 gamma=90.00
Atoms (fractional coordinates):
Sb (0.500, 0.500, 0.500)
Si (0.000, 0.000, 0.000)
Li (0.000, 0.500, 0.000)
Li (0.000, 0.000, 0.500)
Li (0.500, 0.000, 0.000)

Properties
formation energy from raw total energies = 0.150 eV per atom
polymorph energy (0 for the lowest one) = 0.00 eV/f.u.

=====

No. 7
Material: Mg2Ti3FeS8
Method: DFT, PBE-GGA
State: optimized geometry

Unit cell a=7.334 b=7.334 c=7.334 alpha=59.22 beta=59.22 gamma=59.22
Site moments in Bohr magnetons follow the coordinates.
Atoms (fractional coordinates):
Mg (0.123, 0.123, 0.123)  0.01
Mg (0.877, 0.877, 0.877)  0.01
Ti (0.500, 0.000, 0.500)  0.28
Ti (0.500, 0.500, 0.000)  0.28
Ti (0.000, 0.500, 0.500)  0.28
Fe (0.500, 0.500, 0.500)  3.21
S (0.258, 0.258, 0.258)  -0.01
S (0.740, 0.283, 0.740)  0.03
S (0.283, 0.740, 0.740)  0.03
S (0.740, 0.740, 0.283)  0.03
S (0.717, 0.260, 0.260)  0.03
S (0.260, 0.260, 0.717)  0.03
S (0.742, 0.742, 0.742)  -0.01
S (0.260, 0.717, 0.260)  0.03

Properties
formation energy from raw total energies = -1.143 eV per atom

=====

No. 8
Material: Cs3Sc3US8
Method: DFT, PBE-GGA
State: optimized geometry

Unit cell a=7.761 b=7.760 c=9.290 alpha=114.69 beta=90.00 gamma=120.01
Site moments in Bohr magnetons follow the coordinates.
Atoms (fractional coordinates):
Cs (0.000, 0.000, 0.000)  0.00
Cs (0.000, 0.500, 0.000)  0.00
Cs (0.500, 0.500, 0.000)  0.00
Sc (0.500, 0.000, 0.500)  0.04
Sc (0.500, 0.500, 0.500)  0.04
Sc (0.000, 0.500, 0.500)  0.04
U (0.000, 0.000, 0.500)  1.92
S (0.276, 0.553, 0.329)  0.00
S (0.724, 0.447, 0.671)  0.00
S (0.771, 0.543, 0.326)  -0.03
S (0.229, 0.457, 0.674)  -0.03
S (0.771, 0.054, 0.326)  -0.03
S (0.229, 0.946, 0.674)  -0.03
S (0.283, 0.054, 0.326)  -0.03
S (0.717, 0.946, 0.674)  -0.03

Properties
formation energy from raw total energies = -1.658 eV per atom

=====

No. 9
Material: CaHoCdPt
Method: DFT, PBE-GGA
State: optimized geometry

Unit cell a=5.084 b=5.084 c=5.084 alpha=60.00 beta=60.00 gamma=60.00
Atoms (fractional coordinates):
Ca (0.500, 0.500, 0.500)
Ho (0.000, 0.000, 0.000)
Pt (0.750, 0.750, 0.750)
Cd (0.250, 0.250, 0.250)

Properties
energy of formation from the pure elements = -0.658 eV/atom

=====

No. 10
Material: PdS2Cl3
Method: DFT, PBE-GGA
State: optimized geometry

Unit cell a=6.173 b=6.173 c=17.085 alpha=58.38 beta=58.38 gamma=104.14
Site moments in Bohr magnetons follow the coordinates.
Atoms (fractional coordinates):
Pd (0.012, 0.988, 0.250)  0.01
Pd (0.988, 0.012, 0.750)  0.01
S (0.029, 0.455, 0.164)  0.29
S (0.545, 0.971, 0.336)  0.29
S (0.971, 0.545, 0.836)  0.29
S (0.455, 0.029, 0.664)  0.29
Cl (0.058, 0.097, 0.585)  0.00
Cl (0.903, 0.942, 0.915)  0.00
Cl (0.942, 0.903, 0.415)  0.00
Cl (0.097, 0.058, 0.085)  0.00
Cl (0.246, 0.754, 0.250)  0.06
Cl (0.754, 0.246, 0.750)  0.06

Properties
formation energy from raw total energies = -0.132 eV per atom

=====

No. 11
Material: LaPmMnN4
Method: DFT, PBE-GGA
State: optimized geometry

Unit cell a=5.656 b=5.326 c=7.289 alpha=90.00 beta=105.06 gamma=90.00
Site moments in Bohr magnetons follow the coordinates.
Atoms (fractional coordinates):
La (0.778, 0.750, 0.470)  0.05
La (0.222, 0.250, 0.530)  0.05
Pm (0.745, 0.750, 0.962)  0.04
Pm (0.255, 0.250, 0.038)  0.04
Mn (0.226, 0.750, 0.278)  0.77
Mn (0.774, 0.250, 0.722)  0.77
N (0.973, 0.500, 0.776)  0.00
N (0.027, 0.000, 0.224)  0.00
N (0.027, 0.500, 0.224)  0.00
N (0.973, 0.000, 0.776)  0.00
N (0.444, 0.750, 0.149)  0.01
N (0.556, 0.250, 0.851)  0.01
N (0.355, 0.750, 0.519)  0.00
N (0.645, 0.250, 0.481)  0.00

Properties
formation energy from raw total energies = -0.899 eV per atom

=====

No. 12
Material: Be2CdRh2
Method: DFT, PBE-GGA
State: optimized geometry

Unit cell a=6.505 b=6.505 c=2.954 alpha=90.00 beta=90.00 gamma=90.00
Atoms (fractional coordinates):
Be (0.377, 0.877, 0.000)
Be (0.877, 0.623, 0.000)
Be (0.623, 0.123, 0.000)
Be (0.123, 0.377, 0.000)
Rh (0.160, 0.660, 0.500)
Rh (0.660, 0.840, 0.500)
Rh (0.840, 0.340, 0.500)
Rh (0.340, 0.160, 0.500)
Cd (0.000, 0.000, 0.000)
Cd (0.500, 0.500, 0.000)

Properties
polymorph energy (0 for the lowest one) = 0.00 eV/f.u.
energy of formation from the pure elements = -0.433 eV/atom

=====

Number 1: DOS at the Fermi energy 4.686 states/eV/cell. Number 2: DOS at the Fermi energy 2.203 states/eV/cell. Number 3: DOS at the Fermi energy 3.414 states/eV/cell. Number 4: DOS at the Fermi energy 2.664 states/eV/cell. Number 5: DOS at the Fermi energy 2.439 states/eV/cell. Number 6: DOS at the Fermi energy 2.229 states/eV/cell. Number 7: DOS at the Fermi energy 10.236 states/eV/cell. Number 8: DOS at the Fermi energy 6.043 states/eV/cell. Number 9: DOS at the Fermi energy 2.844 states/eV/cell. Number 10: DOS at the Fermi energy 0.796 states/eV/cell. Number 11: DOS at the Fermi energy 6.421 states/eV/cell. Number 12: DOS at the Fermi energy 2.654 states/eV/cell.